[1]
The following is a PBE calculation of crystalline Sr3SmDy3S8 at its relaxed geometry, from the Alexandria database.

Results
- E_form (uncorrected) (meV per atom) = -2075

Unit cell a=8.2741 b=8.2741 c=8.2741 alpha=58.05 beta=58.05 gamma=58.05
Atoms (fractional coordinates):
Sr 0.0000 0.5000 0.5000
Sr 0.5000 0.0000 0.5000
Sr 0.5000 0.5000 0.0000
Sm 0.5000 0.5000 0.5000
Dy 0.0000 0.0000 0.5000
Dy 0.0000 0.5000 0.0000
Dy 0.5000 0.0000 0.0000
S 0.2377 0.7445 0.7445
S 0.2429 0.2429 0.2429
S 0.2555 0.2555 0.7623
S 0.2555 0.7623 0.2555
S 0.7445 0.2377 0.7445
S 0.7445 0.7445 0.2377
S 0.7571 0.7571 0.7571
S 0.7623 0.2555 0.2555

[2]
The following is a PBE calculation of crystalline ZrCo4Si at its relaxed geometry, from the Alexandria database.

Results
- E_form (uncorrected) (meV per atom) = -319

Unit cell a=6.9071 b=3.5008 c=6.3428 alpha=90.00 beta=90.00 gamma=90.00
Atoms (fractional coordinates):
Zr 0.2500 0.0000 0.1355
Zr 0.7500 0.0000 0.8645
Co 0.0000 0.0000 0.5000
Co 0.0487 0.5000 0.8022
Co 0.2500 0.5000 0.4549
Co 0.4513 0.5000 0.8022
Co 0.5000 0.0000 0.5000
Co 0.5487 0.5000 0.1978
Co 0.7500 0.5000 0.5451
Co 0.9513 0.5000 0.1978
Si 0.2500 0.0000 0.7153
Si 0.7500 0.0000 0.2847

[3]
The following is a PBE calculation of crystalline LiReNi2 at its relaxed geometry, from the Alexandria database.

Results
- ΔE_f (kJ per mole of atoms) = 18

Unit cell a=8.3708 b=2.5271 c=4.6917 alpha=90.00 beta=96.60 gamma=90.00
Atoms (fractional coordinates):
Li 0.0000 0.0000 0.0000
Li 0.5000 0.5000 0.0000
Re 0.0000 0.5000 0.5000
Re 0.5000 0.0000 0.5000
Ni 0.2490 0.0000 0.7406
Ni 0.2510 0.5000 0.2594
Ni 0.7490 0.5000 0.7406
Ni 0.7510 0.0000 0.2594

[4]
The following is a PBE calculation of crystalline CuSnOs2 at its relaxed geometry, from the Alexandria database.

Results
- ΔE_f (kJ per mole of atoms) = 64

Unit cell a=3.9598 b=3.9598 c=18.2409 alpha=90.00 beta=90.00 gamma=90.00
Atoms (fractional coordinates):
Cu 0.0000 0.0000 0.0000
Cu 0.0000 0.5000 0.2500
Cu 0.5000 0.0000 0.7500
Cu 0.5000 0.5000 0.5000
Sn 0.0000 0.0000 0.5000
Sn 0.0000 0.5000 0.7500
Sn 0.5000 0.0000 0.2500
Sn 0.5000 0.5000 0.0000
Os 0.1687 0.2500 0.1250
Os 0.2500 0.6687 0.3750
Os 0.2500 0.8313 0.8750
Os 0.3313 0.2500 0.6250
Os 0.6687 0.7500 0.6250
Os 0.7500 0.1687 0.8750
Os 0.7500 0.3313 0.3750
Os 0.8313 0.7500 0.1250

[5]
The following is a PBE calculation of crystalline Ta2SbAs at its relaxed geometry, from the Alexandria database.

Results
- E_form (uncorrected) (meV per atom) = 138

Unit cell a=3.2131 b=3.2131 c=25.4746 alpha=90.00 beta=90.00 gamma=120.00
Atoms (fractional coordinates):
Ta 0.0000 0.0000 0.2415
Ta 0.0000 0.0000 0.7585
Ta 0.3333 0.6667 0.4251
Ta 0.3333 0.6667 0.9082
Ta 0.6667 0.3333 0.0918
Ta 0.6667 0.3333 0.5749
Sb 0.0000 0.0000 0.0000
Sb 0.3333 0.6667 0.6667
Sb 0.6667 0.3333 0.3333
As 0.0000 0.0000 0.5000
As 0.3333 0.6667 0.1667
As 0.6667 0.3333 0.8333

[6]
The following is a PBE calculation of crystalline ZnF8 at its relaxed geometry, from the Alexandria database.

Results
- E_form (uncorrected) (meV per atom) = -239

Unit cell a=6.3498 b=6.3498 c=6.3498 alpha=92.93 beta=92.93 gamma=153.86
Atoms (fractional coordinates):
Zn 0.0000 0.0000 0.0000
F 0.0000 0.3583 0.3583
F 0.0000 0.6417 0.6417
F 0.3583 0.0000 0.3583
F 0.3696 0.3696 0.7393
F 0.3696 0.6304 0.0000
F 0.6304 0.3696 0.0000
F 0.6304 0.6304 0.2607
F 0.6417 0.0000 0.6417

[7]
The following is a PBE calculation of crystalline Dy6Ho3Tm2Th at its relaxed geometry, from the Alexandria database.

Results
- ΔE_f (kJ per mole of atoms) = 2

Unit cell a=6.1165 b=6.1165 c=11.7264 alpha=94.99 beta=94.99 gamma=119.97
Atoms (fractional coordinates):
Dy 0.0837 0.4143 0.7494
Dy 0.2469 0.2469 0.2508
Dy 0.4143 0.0837 0.7494
Dy 0.5857 0.9163 0.2506
Dy 0.7531 0.7531 0.7492
Dy 0.9163 0.5857 0.2506
Ho 0.1673 0.8327 0.0000
Ho 0.5000 0.5000 0.0000
Ho 0.8327 0.1673 0.0000
Tm 0.3332 0.6668 0.5000
Tm 0.6668 0.3332 0.5000
Th 0.0000 0.0000 0.5000

[8]
The following is a PBE calculation of crystalline ErTl2Se2 at its relaxed geometry, from the Alexandria database.

Results
- E_form (uncorrected) (meV per atom) = -1002

Unit cell a=6.9972 b=4.0395 c=11.3831 alpha=90.00 beta=105.85 gamma=90.00
Atoms (fractional coordinates):
Er 0.0000 0.0000 0.0000
Er 0.5000 0.5000 0.0000
Tl 0.0425 0.5000 0.3657
Tl 0.4575 0.0000 0.6343
Tl 0.5425 0.0000 0.3657
Tl 0.9575 0.5000 0.6343
Se 0.2336 0.5000 0.1481
Se 0.2664 0.0000 0.8519
Se 0.7336 0.0000 0.1481
Se 0.7664 0.5000 0.8519

[9]
The following is a PBE calculation of crystalline Ba2NaCdF at its relaxed geometry, from the Alexandria database.

Results
- E_form (uncorrected) (meV per atom) = -1185

Unit cell a=5.8253 b=5.8253 c=4.7615 alpha=90.00 beta=90.00 gamma=90.00
Atoms (fractional coordinates):
Ba 0.0000 0.5000 0.0000
Ba 0.5000 0.0000 0.0000
Na 0.0000 0.0000 0.5000
Cd 0.5000 0.5000 0.5000
F 0.0000 0.0000 0.0000

[10]
The following is a PBE calculation of crystalline Be2CrRh at its relaxed geometry, from the Alexandria database.

Results
- ΔE_f (kJ per mole of atoms) = -18

Unit cell a=3.8923 b=3.8923 c=2.8501 alpha=90.00 beta=90.00 gamma=90.00
Atoms (fractional coordinates):
Be 0.0000 0.5000 0.0000
Be 0.5000 0.0000 0.0000
Cr 0.0000 0.0000 0.5000
Rh 0.5000 0.5000 0.5000

[11]
The following is a PBE calculation of crystalline KNa2Tl8 at its relaxed geometry, from the Alexandria database.

Results
- ΔE_f (kJ per mole of atoms) = -5

Unit cell a=10.5037 b=10.5037 c=5.2902 alpha=93.44 beta=93.44 gamma=37.19
Atoms (fractional coordinates):
K 0.0000 0.0000 0.0000
Na 0.2865 0.2865 0.7623
Na 0.7135 0.7135 0.2377
Tl 0.1213 0.6064 0.2747
Tl 0.1894 0.1894 0.2396
Tl 0.3936 0.8787 0.7253
Tl 0.4501 0.4501 0.7459
Tl 0.5499 0.5499 0.2541
Tl 0.6064 0.1213 0.2747
Tl 0.8106 0.8106 0.7604
Tl 0.8787 0.3936 0.7253

[12]
The following is a PBE calculation of crystalline GaGePS2 at its relaxed geometry, from the Alexandria database.

Results
- E_form (uncorrected) (meV per atom) = 484

Unit cell a=4.7791 b=4.7791 c=4.7495 alpha=90.00 beta=90.00 gamma=90.00
Atoms (fractional coordinates):
Ga 0.0000 0.0000 0.0000
Ge 0.5000 0.5000 0.5000
P 0.5000 0.5000 0.0000
S 0.0000 0.5000 0.5000
S 0.5000 0.0000 0.5000